(1)
# Li2PrErSe4 PBE relaxed
# - raw formation energy (kJ/mol of atoms) = -161
# - magnetization (μB per formula unit) = 0.0
data_Li2PrErSe4
_cell_length_a 6.940
_cell_length_b 4.139
_cell_length_c 7.175
_cell_angle_alpha 90.00
_cell_angle_beta 110.13
_cell_angle_gamma 90.00
_space_group_name_H-M_alt 'P 1 2/m 1'
_space_group_IT_number 10
loop_
_space_group_symop_operation_xyz
'x,y,z'
'-x,-y,-z'
'-x,y,-z'
'x,-y,z'
loop_
_atom_site_label
_atom_site_type_symbol
_atom_site_fract_x
_atom_site_fract_y
_atom_site_fract_z
Li1 Li 0.000 0.000 0.000
Li2 Li 0.000 0.500 0.500
Pr1 Pr 0.500 0.000 0.500
Er1 Er 0.500 0.500 0.000
Se1 Se 0.241 0.500 0.236
Se2 Se 0.247 0.000 0.759

(2)
# Ce2GaNi12P3 PBE relaxed
# - formation energy from the elements (meV per atom) = -146
# - N(E_F) (states/eV/f.u.) = 11.32
# - magnetization (μB per formula unit) = 0.0
data_Ce2GaNi12P3
_cell_length_a 7.5156
_cell_length_b 7.5156
_cell_length_c 16.7158
_cell_angle_alpha 90.00
_cell_angle_beta 90.00
_cell_angle_gamma 120.00
_space_group_name_H-M_alt 'R -3 m'
_space_group_IT_number 166
_space_group_name_Hall '-R 3 2"'
loop_
_atom_site_label
_atom_site_type_symbol
_atom_site_fract_x
_atom_site_fract_y
_atom_site_fract_z
Ce1 Ce 0.0000 0.0000 0.1165
Ga1 Ga 0.0000 0.0000 0.5000
Ni1 Ni 0.0119 0.5059 0.8711
Ni2 Ni 0.0311 0.5156 0.3656
P1 P 0.0000 0.5000 0.0000

(3)
# RuPtCl PBE relaxed
# - energy above the most stable polymorph in this dataset (eV per atom) = 0.0518
# - N(E_F) (states/eV/f.u.) = 2.64
# - raw formation energy (kJ/mol of atoms) = 43
# - magnetization (μB per formula unit) = 1.0
data_RuPtCl
_cell_length_a 3.6508
_cell_length_b 3.6508
_cell_length_c 5.8785
_cell_angle_alpha 90.00
_cell_angle_beta 90.00
_cell_angle_gamma 120.00
_space_group_name_H-M_alt 'P 3 m 1'
_space_group_IT_number 156
loop_
_space_group_symop_operation_xyz
'x,y,z'
'-y,x-y,z'
'-x+y,-x,z'
'-y,-x,z'
'-x+y,y,z'
'x,x-y,z'
loop_
_atom_site_label
_atom_site_type_symbol
_atom_site_fract_x
_atom_site_fract_y
_atom_site_fract_z
Ru1 Ru 0.0000 0.0000 0.0000
Pt1 Pt 0.6667 0.3333 0.7811
Cl1 Cl 0.3333 0.6667 0.2223

(4)
# ThICl3 PBE relaxed
# - energy above the most stable polymorph in this dataset (eV per atom) = 0.0000
# - N(E_F) (states/eV/f.u.) = 0.00
# - raw formation energy (kJ/mol of atoms) = -179
# - magnetization (μB per formula unit) = 0.0
data_ThICl3
_cell_length_a 10.155
_cell_length_b 4.156
_cell_length_c 16.489
_cell_angle_alpha 90.00
_cell_angle_beta 90.00
_cell_angle_gamma 90.00
_space_group_name_H-M_alt 'P n m a'
_space_group_IT_number 62
loop_
_space_group_symop_operation_xyz
'x,y,z'
'-x,-y,-z'
'-x+1/2,-y,z+1/2'
'x+1/2,y,-z+1/2'
'x+1/2,-y+1/2,-z+1/2'
'-x+1/2,y+1/2,z+1/2'
'-x,y+1/2,-z'
'x,-y+1/2,z'
loop_
_atom_site_label
_atom_site_type_symbol
_atom_site_fract_x
_atom_site_fract_y
_atom_site_fract_z
Th1 Th 0.150 0.250 0.174
I1 I 0.183 0.250 0.563
Cl1 Cl 0.010 0.250 0.892
Cl2 Cl 0.088 0.750 0.736
Cl3 Cl 0.170 0.750 0.285

(5)
# LaFe2As PBE relaxed
# - formation energy from the elements (meV per atom) = 93
# - N(E_F) (states/eV/f.u.) = 3.31
# - magnetization (μB per formula unit) = 3.9
data_LaFe2As
_cell_length_a 3.297
_cell_length_b 4.929
_cell_length_c 9.186
_cell_angle_alpha 90.00
_cell_angle_beta 90.00
_cell_angle_gamma 90.00
_space_group_name_H-M_alt 'I m m 2'
_space_group_IT_number 44
loop_
_space_group_symop_operation_xyz
'x,y,z'
'-x,-y,z'
'-x,y,z'
'x,-y,z'
'x+1/2,y+1/2,z+1/2'
'-x+1/2,-y+1/2,z+1/2'
'-x+1/2,y+1/2,z+1/2'
'x+1/2,-y+1/2,z+1/2'
loop_
_atom_site_label
_atom_site_type_symbol
_atom_site_fract_x
_atom_site_fract_y
_atom_site_fract_z
La1 La 0.000 0.000 0.000
Fe1 Fe 0.000 0.000 0.482
Fe2 Fe 0.000 0.500 0.192
As1 As 0.000 0.500 0.786

(6)
# Y2TaSi PBE relaxed
# - N(E_F) (states/eV/f.u.) = 4.82
# - raw formation energy (kJ/mol of atoms) = -1
# - magnetization (μB per formula unit) = 0.0
data_Y2TaSi
_cell_length_a 3.5998
_cell_length_b 3.5998
_cell_length_c 27.0593
_cell_angle_alpha 90.00
_cell_angle_beta 90.00
_cell_angle_gamma 120.00
_space_group_name_H-M_alt 'R 3 m'
_space_group_IT_number 160
_space_group_name_Hall 'R 3 -2"'
loop_
_atom_site_label
_atom_site_type_symbol
_atom_site_fract_x
_atom_site_fract_y
_atom_site_fract_z
Y1 Y 0.0000 0.0000 0.0000
Y2 Y 0.0000 0.0000 0.2118
Ta1 Ta 0.0000 0.0000 0.7559
Si1 Si 0.0000 0.0000 0.4757

(7)
# Ba3MgCd2Hg6 PBE relaxed
# - formation energy from the elements (meV per atom) = -309
# - N(E_F) (states/eV/f.u.) = 7.38
# - magnetization (μB per formula unit) = 0.0
data_Ba3MgCd2Hg6
_cell_length_a 6.8144
_cell_length_b 6.8144
_cell_length_c 9.6409
_cell_angle_alpha 90.00
_cell_angle_beta 90.00
_cell_angle_gamma 120.00
_space_group_name_H-M_alt 'P -3 m 1'
_space_group_IT_number 164
_space_group_name_Hall '-P 3 2"'
loop_
_atom_site_label
_atom_site_type_symbol
_atom_site_fract_x
_atom_site_fract_y
_atom_site_fract_z
Ba1 Ba 0.0000 0.0000 0.0000
Ba2 Ba 0.3333 0.6667 0.6275
Mg1 Mg 0.0000 0.0000 0.5000
Cd1 Cd 0.3333 0.6667 0.0106
Hg1 Hg 0.1794 0.3588 0.2857

(8)
# RbCuTeS2 PBE relaxed
# - N(E_F) (states/eV/f.u.) = 1.48
# - raw formation energy (kJ/mol of atoms) = -27
# - magnetization (μB per formula unit) = 0.0
data_RbCuTeS2
_cell_length_a 8.667
_cell_length_b 15.334
_cell_length_c 4.730
_cell_angle_alpha 90.00
_cell_angle_beta 90.00
_cell_angle_gamma 90.00
_space_group_name_H-M_alt 'C m m e'
_space_group_IT_number 67
_space_group_name_Hall '-C 2a 2'
loop_
_atom_site_label
_atom_site_type_symbol
_atom_site_fract_x
_atom_site_fract_y
_atom_site_fract_z
Rb1 Rb 0.000 0.250 0.190
Cu1 Cu 0.000 0.000 0.000
Te1 Te 0.250 0.000 0.500
S1 S 0.000 0.101 0.678

(9)
# Zr2CdAg PBE relaxed
# - formation energy from the elements (meV per atom) = 43
# - N(E_F) (states/eV/f.u.) = 5.20
# - magnetization (μB per formula unit) = 0.0
data_Zr2CdAg
_cell_length_a 4.282
_cell_length_b 4.282
_cell_length_c 9.133
_cell_angle_alpha 90.00
_cell_angle_beta 90.00
_cell_angle_gamma 90.00
_space_group_name_H-M_alt 'I -4 m 2'
_space_group_IT_number 119
_space_group_name_Hall 'I -4 -2'
loop_
_atom_site_label
_atom_site_type_symbol
_atom_site_fract_x
_atom_site_fract_y
_atom_site_fract_z
Zr1 Zr 0.000 0.000 0.000
Zr2 Zr 0.000 0.500 0.250
Cd1 Cd 0.000 0.000 0.500
Ag1 Ag 0.000 0.500 0.750

(10)
# TcAg3Br8 PBE relaxed
# - N(E_F) (states/eV/f.u.) = 6.72
# - raw formation energy (kJ/mol of atoms) = -31
# - magnetization (μB per formula unit) = 2.2
data_TcAg3Br8
_cell_length_a 7.580
_cell_length_b 11.933
_cell_length_c 8.225
_cell_angle_alpha 90.00
_cell_angle_beta 90.00
_cell_angle_gamma 90.00
_space_group_name_H-M_alt 'C 2 2 2'
_space_group_IT_number 21
loop_
_space_group_symop_operation_xyz
'x,y,z'
'-x,-y,z'
'x,-y,-z'
'-x,y,-z'
'x+1/2,y+1/2,z'
'-x+1/2,-y+1/2,z'
'x+1/2,-y+1/2,-z'
'-x+1/2,y+1/2,-z'
loop_
_atom_site_label
_atom_site_type_symbol
_atom_site_fract_x
_atom_site_fract_y
_atom_site_fract_z
Tc1 Tc 0.000 0.000 0.000
Ag1 Ag 0.000 0.000 0.500
Ag2 Ag 0.250 0.250 0.260
Br1 Br 0.000 0.213 0.000
Br2 Br 0.000 0.219 0.500
Br3 Br 0.237 0.005 0.215

(11)
# BaSr2Ag6 PBE relaxed
# - formation energy from the elements (meV per atom) = -275
# - N(E_F) (states/eV/f.u.) = 2.63
# - magnetization (μB per formula unit) = 0.0
data_BaSr2Ag6
_cell_length_a 8.5057
_cell_length_b 8.5057
_cell_length_c 4.0426
_cell_angle_alpha 90.00
_cell_angle_beta 90.00
_cell_angle_gamma 120.00
_space_group_name_H-M_alt 'P 6/m m m'
_space_group_IT_number 191
_space_group_name_Hall '-P 6 2'
loop_
_atom_site_label
_atom_site_type_symbol
_atom_site_fract_x
_atom_site_fract_y
_atom_site_fract_z
Ba1 Ba 0.0000 0.0000 0.0000
Sr1 Sr 0.3333 0.6667 0.0000
Ag1 Ag 0.0000 0.3363 0.5000

(12)
# Hg2TePb2 PBE relaxed
# - energy above the most stable polymorph in this dataset (eV per atom) = 0.0557
# - N(E_F) (states/eV/f.u.) = 2.25
# - raw formation energy (kJ/mol of atoms) = -1
# - magnetization (μB per formula unit) = 0.0
data_Hg2TePb2
_cell_length_a 8.405
_cell_length_b 8.405
_cell_length_c 4.437
_cell_angle_alpha 90.00
_cell_angle_beta 90.00
_cell_angle_gamma 90.00
_space_group_name_H-M_alt 'P 4/m b m'
_space_group_IT_number 127
_space_group_name_Hall '-P 4 2ab'
loop_
_atom_site_label
_atom_site_type_symbol
_atom_site_fract_x
_atom_site_fract_y
_atom_site_fract_z
Hg1 Hg 0.156 0.344 0.000
Te1 Te 0.000 0.000 0.500
Pb1 Pb 0.150 0.650 0.500

(13)
# CaEu2As PBE relaxed
# - formation energy from the elements (meV per atom) = -580
# - energy above the most stable polymorph in this dataset (eV per atom) = 0.0000
# - N(E_F) (states/eV/f.u.) = 3.47
# - magnetization (μB per formula unit) = 14.8
data_CaEu2As
_cell_length_a 3.864
_cell_length_b 3.864
_cell_length_c 9.136
_cell_angle_alpha 90.00
_cell_angle_beta 90.00
_cell_angle_gamma 90.00
_space_group_name_H-M_alt 'P 4/m m m'
_space_group_IT_number 123
_space_group_name_Hall '-P 4 2'
loop_
_atom_site_label
_atom_site_type_symbol
_atom_site_fract_x
_atom_site_fract_y
_atom_site_fract_z
Ca1 Ca 0.000 0.000 0.000
Eu1 Eu 0.500 0.500 0.326
As1 As 0.000 0.000 0.500